1.
# SrZnOs2W | the Alexandria database | PBE-GGA | optimized geometry
data_SrZnOs2W
_space_group_name_H-M_alt 'P 1'
_space_group_IT_number 1
_cell_length_a 4.812
_cell_length_b 4.933
_cell_length_c 4.812
_cell_angle_alpha 90.00
_cell_angle_beta 90.00
_cell_angle_gamma 90.00
loop_
_space_group_symop_operation_xyz
'x,y,z'
loop_
_atom_site_label
_atom_site_type_symbol
_atom_site_fract_x
_atom_site_fract_y
_atom_site_fract_z
Sr1 Sr 0.000 0.000 0.000
Zn1 Zn 0.500 0.500 0.500
Os1 Os 0.000 0.000 0.500
Os2 Os 0.500 0.000 0.000
W1 W 0.000 0.500 0.000
# Symmetry: No. 123
# Fermi-level density of states, states/eV per atom: 0.887
# ΔE_f, eV per atom: 3.611

2.
# SrY4Os | the Alexandria database | PBE-GGA | optimized geometry
data_SrY4Os
_space_group_name_H-M_alt 'P 1'
_space_group_IT_number 1
_cell_length_a 6.308
_cell_length_b 6.308
_cell_length_c 6.308
_cell_angle_alpha 60.00
_cell_angle_beta 60.00
_cell_angle_gamma 60.00
loop_
_space_group_symop_operation_xyz
'x,y,z'
loop_
_atom_site_label
_atom_site_type_symbol
_atom_site_fract_x
_atom_site_fract_y
_atom_site_fract_z
Sr1 Sr 0.000 0.000 0.000
Y1 Y 0.869 0.377 0.377
Y2 Y 0.377 0.377 0.869
Y3 Y 0.377 0.869 0.377
Y4 Y 0.377 0.377 0.377
Os1 Os 0.750 0.750 0.750
# Symmetry: No. 216
# Fermi-level density of states, states/eV per atom: 1.379
# ΔE_f, eV per atom: 0.874

3.
# Sr2YOs | the Alexandria database | PBE-GGA | optimized geometry
data_Sr2YOs
_space_group_name_H-M_alt 'P 1'
_space_group_IT_number 1
_cell_length_a 3.695
_cell_length_b 4.328
_cell_length_c 9.162
_cell_angle_alpha 76.36
_cell_angle_beta 90.00
_cell_angle_gamma 90.00
loop_
_space_group_symop_operation_xyz
'x,y,z'
loop_
_atom_site_label
_atom_site_type_symbol
_atom_site_fract_x
_atom_site_fract_y
_atom_site_fract_z
Os1 Os 0.500 0.986 0.652
Sr1 Sr 0.000 0.847 0.933
Sr2 Sr 0.500 0.155 0.313
Y1 Y 0.000 0.512 0.601
# Offset from the most stable computed form, eV per atom: 0.010
# Symmetry: No. 38
# Fermi-level density of states, states/eV per atom: 1.037
# ΔE_f, eV per atom: 0.207